VASP calculation (PBE+U) on a relaxed structure of In2FeGeO.

a = 5.2921 Å, b = 5.2921 Å, c = 4.7173 Å
α = 90.00°, β = 90.00°, γ = 90.00°
With the nearest neighbours (Å) after each atom.
Space group P4/mmm (No. 123)
Unique sites:
In (0.0000, 0.5000, 0.0000) [2 per cell]  2 Ge 2.65
Fe (0.0000, 0.0000, 0.5000) [1 per cell]  2 Ge 2.36
Ge (0.0000, 0.0000, 0.0000) [1 per cell]  2 Fe 2.36
O (0.5000, 0.5000, 0.5000) [1 per cell]  8 In 3.54, 4 Fe 3.74

Summary:
The total energy is -16.94 eV per cell.